Al2Pb | Alexandria via LeMat-Bulk | GGA-PBE | relaxed; Fermi-level density of states = 0.484 states/eV per atom; DFT formation energy = 17.2 kJ per mole of atoms
1.0
0.000 4.060 4.060
4.060 0.000 4.060
4.060 4.060 0.000
Al Pb
4 2
Direct
0.000 0.000 0.000 Al
0.000 0.000 0.500 Al
0.000 0.500 0.000 Al
0.500 0.000 0.000 Al
0.375 0.375 0.375 Pb
0.625 0.625 0.625 Pb


Al5Pb3 | Alexandria via LeMat-Bulk | GGA-PBE | relaxed; Fermi-level density of states = 0.333 states/eV per atom; DFT formation energy = 25.1 kJ per mole of atoms
1.0
9.510 0.000 0.000
-4.755 8.236 0.000
0.000 0.000 4.995
Al Pb
10 6
Direct
0.000 0.170 0.250 Al
0.000 0.830 0.750 Al
0.170 0.000 0.250 Al
0.170 0.170 0.750 Al
0.333 0.667 0.000 Al
0.333 0.667 0.500 Al
0.667 0.333 0.000 Al
0.667 0.333 0.500 Al
0.830 0.000 0.750 Al
0.830 0.830 0.250 Al
0.000 0.377 0.750 Pb
0.000 0.623 0.250 Pb
0.377 0.000 0.750 Pb
0.377 0.377 0.250 Pb
0.623 0.000 0.250 Pb
0.623 0.623 0.750 Pb


AlPb | Alexandria via LeMat-Bulk | GGA-PBE | relaxed; Fermi-level density of states = 0.310 states/eV per atom; DFT formation energy = 18.5 kJ per mole of atoms
1.0
6.694 0.000 0.000
0.000 7.016 0.000
0.000 0.000 8.712
Al Pb
8 8
Direct
0.041 0.026 0.076 Al
0.178 0.848 0.364 Al
0.322 0.152 0.864 Al
0.459 0.974 0.576 Al
0.541 0.474 0.924 Al
0.678 0.652 0.636 Al
0.822 0.348 0.136 Al
0.959 0.526 0.424 Al
0.096 0.782 0.726 Pb
0.152 0.608 0.075 Pb
0.348 0.392 0.575 Pb
0.404 0.218 0.226 Pb
0.596 0.718 0.274 Pb
0.652 0.892 0.925 Pb
0.848 0.108 0.425 Pb
0.904 0.282 0.774 Pb


Al2Pb | Alexandria via LeMat-Bulk | GGA-PBE | relaxed; Fermi-level density of states = 0.324 states/eV per atom; DFT formation energy = 43.9 kJ per mole of atoms
1.0
5.009 0.000 0.000
0.000 6.880 0.000
0.000 0.000 4.674
Al Pb
4 2
Direct
0.206 0.114 0.000 Al
0.294 0.614 0.500 Al
0.706 0.386 0.500 Al
0.794 0.886 0.000 Al
0.000 0.500 0.000 Pb
0.500 0.000 0.500 Pb


AlPb2 | Alexandria via LeMat-Bulk | GGA-PBE | relaxed; Fermi-level density of states = 0.326 states/eV per atom; DFT formation energy = 16.6 kJ per mole of atoms
1.0
0.000 3.561 3.561
3.561 0.000 3.561
3.561 3.561 0.000
Al Pb
1 2
Direct
0.000 0.000 0.000 Al
0.250 0.250 0.250 Pb
0.750 0.750 0.750 Pb


AlPb3 | Alexandria via LeMat-Bulk | GGA-PBE | relaxed; offset from the most stable computed form = 54 meV per atom; Fermi-level density of states = 0.588 states/eV per atom; DFT formation energy = 17.6 kJ per mole of atoms
1.0
6.881 0.000 0.000
-3.440 5.959 0.000
0.000 0.000 11.210
Al Pb
4 12
Direct
0.000 0.000 0.000 Al
0.000 0.000 0.500 Al
0.333 0.667 0.250 Al
0.667 0.333 0.750 Al
0.000 0.500 0.000 Pb
0.000 0.500 0.500 Pb
0.162 0.325 0.750 Pb
0.162 0.838 0.750 Pb
0.325 0.162 0.250 Pb
0.500 0.000 0.000 Pb
0.500 0.000 0.500 Pb
0.500 0.500 0.000 Pb
0.500 0.500 0.500 Pb
0.675 0.838 0.750 Pb
0.838 0.162 0.250 Pb
0.838 0.675 0.250 Pb


AlPb | Alexandria via LeMat-Bulk | GGA-PBE | relaxed; Fermi-level density of states = 0.515 states/eV per atom; DFT formation energy = 51.5 kJ per mole of atoms
1.0
-4.321 4.321 4.321
4.321 -4.321 4.321
4.321 4.321 -4.321
Al Pb
4 4
Direct
0.000 0.000 0.763 Al
0.000 0.763 0.000 Al
0.237 0.237 0.237 Al
0.763 0.000 0.000 Al
0.000 0.000 0.393 Pb
0.000 0.393 0.000 Pb
0.393 0.000 0.000 Pb
0.607 0.607 0.607 Pb


AlPb | Alexandria via LeMat-Bulk | GGA-PBE | relaxed; Fermi-level density of states = 0.989 states/eV per atom; DFT formation energy = 33.7 kJ per mole of atoms
1.0
0.000 3.705 3.705
3.705 0.000 3.705
3.705 3.705 0.000
Al Pb
2 2
Direct
0.125 0.125 0.125 Al
0.875 0.875 0.875 Al
0.375 0.375 0.375 Pb
0.625 0.625 0.625 Pb


AlPb3 | Alexandria via LeMat-Bulk | GGA-PBE | relaxed; offset from the most stable computed form = 50 meV per atom; Fermi-level density of states = 0.622 states/eV per atom; DFT formation energy = 17.2 kJ per mole of atoms
1.0
-2.421 2.421 4.919
2.421 -2.421 4.919
2.421 2.421 -4.919
Al Pb
1 3
Direct
0.000 0.000 0.000 Al
0.250 0.750 0.500 Pb
0.500 0.500 0.000 Pb
0.750 0.250 0.500 Pb


AlPb2 | Alexandria via LeMat-Bulk | GGA-PBE | relaxed; Fermi-level density of states = 0.645 states/eV per atom; DFT formation energy = 24.4 kJ per mole of atoms
1.0
4.428 0.000 0.000
-2.214 3.835 0.000
0.000 0.000 5.178
Al Pb
1 2
Direct
0.000 0.000 0.000 Al
0.333 0.667 0.276 Pb
0.667 0.333 0.724 Pb


Al2Pb | Alexandria via LeMat-Bulk | GGA-PBE | relaxed; Fermi-level density of states = 0.426 states/eV per atom; DFT formation energy = 41.8 kJ per mole of atoms
1.0
7.672 0.000 0.000
-3.836 6.644 0.000
0.000 0.000 4.312
Al Pb
6 3
Direct
0.000 0.261 0.000 Al
0.000 0.580 0.500 Al
0.261 0.000 0.000 Al
0.420 0.420 0.500 Al
0.580 0.000 0.500 Al
0.739 0.739 0.000 Al
0.000 0.000 0.500 Pb
0.333 0.667 0.000 Pb
0.667 0.333 0.000 Pb


AlPb | Alexandria via LeMat-Bulk | GGA-PBE | relaxed; Fermi-level density of states = 0.222 states/eV per atom; DFT formation energy = 16.6 kJ per mole of atoms
1.0
3.740 0.000 0.000
0.000 4.096 0.000
0.000 0.000 7.164
Al Pb
2 2
Direct
0.250 0.250 0.013 Al
0.750 0.750 0.987 Al
0.250 0.750 0.321 Pb
0.750 0.250 0.679 Pb


Al2Pd2Pb | Alexandria via LeMat-Bulk | GGA-PBE | relaxed; Fermi-level density of states = 0.380 states/eV per atom; DFT formation energy = -38.0 kJ per mole of atoms
1.0
-2.132 2.132 5.347
2.132 -2.132 5.347
2.132 2.132 -5.347
Al Pd Pb
2 2 1
Direct
0.125 0.125 0.000 Al
0.875 0.875 0.000 Al
0.250 0.750 0.500 Pd
0.750 0.250 0.500 Pd
0.500 0.500 0.000 Pb